No. 1
The following is a DFT calculation (PBE) of an optimized crystal structure of LiErBiPt.

Cell lengths 4.9050, 4.9050, 4.9050 Å; angles 60.00, 60.00, 60.00 degrees
Positions (direct):
Li1 0.0000 0.0000 0.0000
Er1 0.7500 0.7500 0.7500
Bi1 0.2500 0.2500 0.2500
Pt1 0.5000 0.5000 0.5000

Final energy: -4.7395 eV/atom
Total magnetization: 0.00 Bohr magnetons per cell
Energy of formation: -0.6399 eV per atom

---

No. 2
The following is a DFT calculation (PBE) of an optimized crystal structure of LiErBiRh.

Cell lengths 4.7718, 4.7718, 4.7718 Å; angles 60.00, 60.00, 60.00 degrees
Positions (direct):
Li1 0.0000 0.0000 0.0000
Er1 0.2500 0.2500 0.2500
Bi1 0.7500 0.7500 0.7500
Rh1 0.5000 0.5000 0.5000

Final energy: -5.0867 eV/atom
Total magnetization: 0.00 Bohr magnetons per cell
Energy of formation: -0.6595 eV per atom

---

No. 3
The following is a DFT calculation (PBE) of an optimized crystal structure of Li2ErBiS4.

Cell lengths 6.6439, 3.9265, 6.8492 Å; angles 90.00, 110.17, 90.00 degrees
Positions (direct):
Li1 0.0000 0.0000 0.0000
Li2 0.0000 0.5000 0.5000
Er1 0.5000 0.0000 0.5000
Bi1 0.5000 0.5000 0.0000
S1 0.2415 0.0000 0.7367
S2 0.2495 0.5000 0.2570
S3 0.7505 0.5000 0.7430
S4 0.7585 0.0000 0.2633

Final energy: -4.8914 eV/atom
Total magnetization: 0.00 Bohr magnetons per cell
Uncorrected formation energy: -1294 meV/atom

---

No. 4
The following is a DFT calculation (PBE) of an optimized crystal structure of LiErBi2S5.

Cell lengths 9.0713, 9.0713, 12.8438 Å; angles 90.00, 90.00, 154.70 degrees
Positions (direct):
Li1 0.0039 0.9961 0.5000
Li2 0.9961 0.0039 0.0000
Er1 0.2909 0.7091 0.5036
Er2 0.7091 0.2909 0.0036
Bi1 0.3500 0.6500 0.2060
Bi2 0.4060 0.5940 0.7524
Bi3 0.5940 0.4060 0.2524
Bi4 0.6500 0.3500 0.7060
S1 0.0006 0.9994 0.8040
S2 0.1396 0.8604 0.5598
S3 0.2077 0.7923 0.1538
S4 0.2097 0.7903 0.8637
S5 0.4390 0.5610 0.5570
S6 0.5610 0.4390 0.0570
S7 0.7903 0.2097 0.3637
S8 0.7923 0.2077 0.6538
S9 0.8604 0.1396 0.0598
S10 0.9994 0.0006 0.3040

Final energy: -4.8481 eV/atom
Total magnetization: 0.00 Bohr magnetons per cell
Uncorrected formation energy: -973 meV/atom